Record 1
Material: TiCoPAu2
Method: DFT, PBE
State: relaxed

Computed properties:
Magnetization in μB per formula unit: 0.00
Excess energy over the best structure of this formula in the dataset in meV per atom: 794
Formation energy in meV/atom: 1149
Electronic total energy in eV per cell: -21.22

Structure (POSCAR):
```
TiCoPAu2
1.0
4.9650 0.0000 0.0000
0.0000 4.1291 0.0000
0.0000 0.0000 4.9650
Co Au P Ti
1 2 1 1
Cartesian
0.0000 2.0645 0.0000
0.0000 0.0000 2.4825
2.4825 0.0000 0.0000
2.4825 2.0645 2.4825
0.0000 0.0000 0.0000
```


Record 2
Material: TbDy9Th2
Method: DFT, PBE
State: relaxed

Computed properties:
Magnetization in μB per formula unit: 0.00
Excess energy over the best structure of this formula in the dataset in meV per atom: 75
Formation energy in meV/atom: 107
Electronic total energy in eV per cell: -59.60

Structure (POSCAR):
```
TbDy9Th2
1.0
-0.8811 3.3614 -0.0094
-9.8836 -2.5769 4.9043
9.0442 2.3884 6.3935
Tb Dy Th
1 9 2
Cartesian
0.0000 0.0000 0.0000
4.5221 1.1942 3.1967
-0.4197 -0.0943 5.6489
-4.9418 -1.2885 2.4521
-2.3016 1.2007 2.8072
5.3187 3.2074 6.1303
0.9834 2.0625 3.0657
-2.7039 1.1104 8.2226
-7.0391 -0.0345 5.1580
0.5811 1.9721 8.4811
2.7349 0.7333 5.8971
-3.5744 -0.9218 5.4007
```


Record 3
Material: CaRhPb
Method: DFT, PBE
State: relaxed

Computed properties:
Magnetization in μB per formula unit: 0.00
Formation energy in meV/atom: -284
Electronic total energy in eV per cell: -27.83

Structure (POSCAR):
```
CaRhPb
1.0
5.9014 -0.0084 -0.0061
2.9464 4.9603 -0.4903
2.9469 0.6209 4.9450
Ca Rh Pb
2 2 2
Cartesian
10.7456 4.3924 4.3398
4.8483 1.6076 2.1132
6.3215 1.9161 4.5863
9.2727 1.9119 4.5832
4.8458 4.8154 0.9647
7.7971 3.3613 2.7769
```


Record 4
Material: Be2TcCl
Method: DFT, PBE
State: relaxed

Computed properties:
Magnetization in μB per formula unit: 0.00
ΔE_f (raw) in eV/atom: 0.52
Excess energy over the best structure of this formula in the dataset in meV per atom: 395
Electronic total energy in eV per cell: -17.58

Structure (POSCAR):
```
Be2TcCl
1.0
-3.9927 -1.2251 -2.4698
-2.9172 -3.4190 1.8284
2.0880 4.2593 1.0206
Be Tc Cl
2 1 1
Cartesian
-6.7685 -4.5491 -0.6283
-2.8008 0.2748 -0.8962
-1.8643 -0.5542 1.2899
-3.7531 -2.5224 -0.3484
```


> Which value of magnetization does entry 1 give?

0.00 μB per formula unit


What did the second record say?
Material: TbDy9Th2
Method: DFT, PBE
State: relaxed

Computed properties:
Magnetization in μB per formula unit: 0.00
Excess energy over the best structure of this formula in the dataset in meV per atom: 75
Formation energy in meV/atom: 107
Electronic total energy in eV per cell: -59.60

Structure (POSCAR):
```
TbDy9Th2
1.0
-0.8811 3.3614 -0.0094
-9.8836 -2.5769 4.9043
9.0442 2.3884 6.3935
Tb Dy Th
1 9 2
Cartesian
0.0000 0.0000 0.0000
4.5221 1.1942 3.1967
-0.4197 -0.0943 5.6489
-4.9418 -1.2885 2.4521
-2.3016 1.2007 2.8072
5.3187 3.2074 6.1303
0.9834 2.0625 3.0657
-2.7039 1.1104 8.2226
-7.0391 -0.0345 5.1580
0.5811 1.9721 8.4811
2.7349 0.7333 5.8971
-3.5744 -0.9218 5.4007
```


> What is the formula in the first record?

TiCoPAu2